DFT (PBE-GGA) results for a relaxed structure of Pm2YNi.

a = 6.390 Å, b = 6.497 Å, c = 11.405 Å
α = 90.00°, β = 90.00°, γ = 90.01°
Fractional coordinates of all 16 atoms:
Pm: 0.758 0.915 0.914
Ni: 0.000 0.250 0.588
Y: 0.250 0.070 0.750
Pm: 0.258 0.085 0.413
Pm: 0.242 0.585 0.914
Y: 0.250 0.570 0.250
Pm: 0.742 0.915 0.587
Pm: 0.742 0.415 0.413
Pm: 0.758 0.415 0.086
Pm: 0.258 0.585 0.587
Ni: 0.000 0.750 0.412
Y: 0.750 0.430 0.750
Ni: 0.500 0.250 0.912
Y: 0.750 0.930 0.250
Pm: 0.242 0.085 0.086
Ni: 0.500 0.750 0.088

Summary:
The value obtained for the size of the total moment is 0.0 μB/f.u. The value obtained for the energy above the most stable polymorph in this dataset is 119 meV/atom. As for the energy of formation from the pure elements: -0.0833 eV per atom. As for the theoretical density: 6.1 g/cm3. Its total energy is -88.3 eV per cell.



DFT (PBE-GGA) results for a relaxed structure of La2PmSmS4.

a = 4.065 Å, b = 7.089 Å, c = 7.104 Å
α = 109.27°, β = 90.00°, γ = 90.00°
Fractional coordinates of all 8 atoms:
La: 0.500 0.000 0.500
S: 0.500 0.245 0.240
S: 0.000 0.252 0.759
Pm: 0.500 0.500 0.000
Sm: 0.000 0.000 0.000
S: 0.000 0.748 0.241
S: 0.500 0.755 0.760
La: 0.000 0.500 0.500

Summary:
The value obtained for the size of the total moment is 0.0 μB/f.u. For the formation energy from raw total energies, the calculation gives -2102 meV/atom. As for the theoretical density: 6.0 g/cm3. Its total energy is -52.6 eV per cell.



DFT (PBE-GGA) results for a relaxed structure of Sc2FeSb.

a = 7.466 Å, b = 7.466 Å, c = 6.013 Å
α = 51.62°, β = 51.62°, γ = 90.00°
Fractional coordinates of all 8 atoms:
Fe: 0.250 0.750 0.500
Sc: 0.560 0.125 0.250
Sc: 0.375 0.440 0.750
Sb: 0.000 0.000 0.000
Sc: 0.875 0.810 0.750
Sb: 0.750 0.250 0.500
Fe: 0.500 0.500 0.000
Sc: 0.190 0.625 0.250

Summary:
The value obtained for the size of the total moment is 0.0 μB/f.u. For the formation energy from raw total energies, the calculation gives -41 meV/atom. As for the theoretical density: 5.5 g/cm3. Its total energy is -50.8 eV per cell.



DFT (PBE-GGA) results for a relaxed structure of Ta12Cr3Fe5.

a = 12.440 Å, b = 12.440 Å, c = 12.440 Å
α = 109.47°, β = 109.47°, γ = 109.47°
Fractional coordinates of all 80 atoms:
Ta: 0.277 0.403 0.829
Ta: 0.552 0.329 0.926
Ta: 0.097 0.171 0.223
Cr: 0.625 0.375 0.750
Ta: 0.223 0.552 0.626
Cr: 0.375 0.625 0.250
Ta: 0.574 0.948 0.671
Ta: 0.052 0.426 0.829
Fe: 0.000 0.500 0.000
Ta: 0.329 0.777 0.403
Fe: 0.500 0.500 0.000
Fe: 0.500 0.000 0.000
Fe: 0.375 0.125 0.750
Ta: 0.574 0.626 0.403
Cr: 0.250 0.625 0.875
Cr: 0.125 0.250 0.875
Ta: 0.626 0.052 0.223
Fe: 0.625 0.875 0.250
Cr: 0.250 0.125 0.375
Ta: 0.097 0.926 0.374
Ta: 0.874 0.597 0.926
Cr: 0.875 0.125 0.250
Ta: 0.403 0.126 0.574
Ta: 0.329 0.552 0.426
Ta: 0.723 0.126 0.052
Ta: 0.597 0.723 0.671
Fe: 0.000 0.000 0.500
Cr: 0.875 0.750 0.125
Ta: 0.671 0.223 0.597
Ta: 0.829 0.903 0.277
Fe: 0.125 0.750 0.375
Ta: 0.074 0.903 0.126
Ta: 0.171 0.097 0.723
Ta: 0.829 0.926 0.052
Ta: 0.126 0.723 0.552
Ta: 0.597 0.874 0.426
Ta: 0.448 0.671 0.074
Ta: 0.723 0.597 0.171
Ta: 0.448 0.777 0.874
Ta: 0.948 0.374 0.277
Fe: 0.000 0.500 0.500
Ta: 0.903 0.829 0.777
Ta: 0.552 0.223 0.126
Ta: 0.777 0.448 0.374
Ta: 0.777 0.329 0.903
Ta: 0.926 0.829 0.552
Ta: 0.374 0.426 0.097
Ta: 0.403 0.277 0.329
Fe: 0.250 0.375 0.625
Fe: 0.250 0.875 0.125
Fe: 0.875 0.250 0.625
Ta: 0.926 0.097 0.874
Fe: 0.000 0.000 0.000
Ta: 0.171 0.074 0.948
Ta: 0.374 0.948 0.777
Fe: 0.750 0.125 0.875
Fe: 0.625 0.750 0.875
Ta: 0.126 0.403 0.074
Fe: 0.875 0.625 0.750
Fe: 0.500 0.500 0.500
Cr: 0.625 0.250 0.375
Ta: 0.426 0.374 0.597
Cr: 0.375 0.750 0.625
Fe: 0.375 0.250 0.125
Ta: 0.626 0.574 0.903
Ta: 0.223 0.671 0.097
Ta: 0.277 0.874 0.948
Ta: 0.948 0.574 0.171
Ta: 0.874 0.277 0.448
Fe: 0.500 0.000 0.500
Ta: 0.671 0.448 0.574
Ta: 0.052 0.626 0.723
Fe: 0.750 0.625 0.375
Fe: 0.125 0.375 0.250
Cr: 0.750 0.875 0.625
Ta: 0.426 0.052 0.329
Ta: 0.074 0.171 0.448
Cr: 0.750 0.375 0.125
Cr: 0.125 0.875 0.750
Ta: 0.903 0.074 0.626

Summary:
The value obtained for the size of the total moment is 0.0 μB/f.u. As for the energy of formation from the pure elements: 0.9341 eV per atom. As for the theoretical density: 11.7 g/cm3. Its total energy is -778.9 eV per cell.



DFT (PBE-GGA) results for a relaxed structure of LiPRh.

a = 4.767 Å, b = 4.767 Å, c = 4.767 Å
α = 142.32°, β = 142.35°, γ = 54.33°
Fractional coordinates of all 3 atoms:
P: 0.312 0.312 0.000
Li: 0.995 0.995 0.000
Rh: 0.692 0.692 0.000

Summary:
The value obtained for the size of the total moment is 0.0 μB/f.u. As for the energy of formation from the pure elements: -0.5857 eV per atom. As for the theoretical density: 5.8 g/cm3. Its total energy is -16.4 eV per cell.



DFT (PBE-GGA) results for a relaxed structure of NaLaGdPb.

a = 5.585 Å, b = 5.585 Å, c = 5.585 Å
α = 60.00°, β = 60.00°, γ = 60.00°
Fractional coordinates of all 4 atoms:
Na: 0.250 0.250 0.250
La: 0.500 0.500 0.500
Pb: 0.750 0.750 0.750
Gd: 0.000 0.000 0.000

Summary:
The value obtained for the size of the total moment is 8.0 μB/f.u. As for the energy of formation from the pure elements: -0.2203 eV per atom. As for the theoretical density: 7.1 g/cm3. Its total energy is -24.9 eV per cell.



DFT (PBE-GGA) results for a relaxed structure of YZrW2.

a = 4.848 Å, b = 4.848 Å, c = 4.848 Å
α = 60.00°, β = 60.00°, γ = 60.00°
Fractional coordinates of all 4 atoms:
Zr: 0.500 0.500 0.500
W: 0.250 0.250 0.250
W: 0.750 0.750 0.750
Y: 0.000 0.000 0.000

Summary:
The value obtained for the size of the total moment is 0.0 μB/f.u. The value obtained for the energy above the most stable polymorph in this dataset is 410 meV/atom. As for the energy of formation from the pure elements: 0.6180 eV per atom. As for the theoretical density: 11.3 g/cm3. Its total energy is -38.4 eV per cell.



DFT (PBE-GGA) results for a relaxed structure of Sr2In4Sn.

a = 5.639 Å, b = 5.639 Å, c = 9.411 Å
α = 72.57°, β = 72.57°, γ = 90.00°
Fractional coordinates of all 7 atoms:
In: 0.829 0.829 0.342
Sn: 0.000 0.000 0.000
Sr: 0.368 0.368 0.264
In: 0.500 0.000 0.000
In: 0.000 0.500 0.000
In: 0.171 0.171 0.658
Sr: 0.632 0.632 0.736

Summary:
The value obtained for the size of the total moment is 0.0 μB/f.u. As for the energy of formation from the pure elements: 0.0273 eV per atom. As for the theoretical density: 4.6 g/cm3. Its total energy is -18.1 eV per cell.



DFT (PBE-GGA) results for a relaxed structure of K4Ho3BiTe8.

a = 9.031 Å, b = 9.759 Å, c = 9.032 Å
α = 117.61°, β = 120.00°, γ = 90.00°
Fractional coordinates of all 16 atoms:
Te: 0.239 0.708 0.970
K: 0.500 0.000 0.500
K: 0.500 0.000 0.000
Ho: 0.500 0.500 0.000
Te: 0.761 0.292 0.030
Bi: 0.000 0.500 0.000
Te: 0.731 0.708 0.970
Te: 0.264 0.293 0.528
K: 0.000 0.000 0.000
K: 0.000 0.000 0.500
Te: 0.736 0.707 0.472
Te: 0.239 0.708 0.478
Te: 0.269 0.292 0.030
Te: 0.761 0.292 0.522
Ho: 0.500 0.500 0.500
Ho: 0.000 0.500 0.500

Summary:
The value obtained for the size of the total moment is 0.0 μB/f.u. For the formation energy from raw total energies, the calculation gives -1195 meV/atom. As for the theoretical density: 5.4 g/cm3. Its total energy is -66.3 eV per cell.



DFT (PBE-GGA) results for a relaxed structure of TlSi2Pb.

a = 3.458 Å, b = 3.458 Å, c = 8.040 Å
α = 90.00°, β = 90.00°, γ = 91.00°
Fractional coordinates of all 4 atoms:
Si: 0.000 0.000 0.077
Pb: 0.500 0.500 0.803
Tl: 0.000 0.000 0.458
Si: 0.500 0.500 0.163

Summary:
The value obtained for the size of the total moment is 0.0 μB/f.u. The value obtained for the energy above the most stable polymorph in this dataset is 104 meV/atom. For the formation energy from raw total energies, the calculation gives 299 meV/atom. As for the theoretical density: 8.1 g/cm3. Its total energy is -15.7 eV per cell.



DFT (PBE-GGA) results for a relaxed structure of Nd2HPb.

a = 4.377 Å, b = 4.996 Å, c = 9.142 Å
α = 105.86°, β = 90.00°, γ = 90.00°
Fractional coordinates of all 8 atoms:
Nd: 0.500 0.000 0.000
Nd: 0.500 0.681 0.361
Nd: 0.500 0.319 0.639
Nd: 0.000 0.500 0.000
Pb: 0.000 0.149 0.298
H: 0.500 0.445 0.891
H: 0.500 0.555 0.109
Pb: 0.000 0.851 0.702

Summary:
The value obtained for the size of the total moment is 0.0 μB/f.u. The value obtained for the energy above the most stable polymorph in this dataset is 42 meV/atom. As for the theoretical density: 8.6 g/cm3. Its total energy is -37.0 eV per cell.



DFT (PBE-GGA) results for a relaxed structure of ZrHgSCl2.

a = 5.095 Å, b = 5.095 Å, c = 5.066 Å
α = 90.00°, β = 90.00°, γ = 90.00°
Fractional coordinates of all 5 atoms:
Hg: 0.000 0.000 0.000
Zr: 0.500 0.500 0.500
S: 0.000 0.000 0.500
Cl: 0.500 0.000 0.000
Cl: 0.000 0.500 0.000

Summary:
The value obtained for the size of the total moment is 2.0 μB/f.u. The value obtained for the energy above the most stable polymorph in this dataset is 1313 meV/atom. For the formation energy from raw total energies, the calculation gives 258 meV/atom. As for the theoretical density: 5.0 g/cm3. Its total energy is -15.4 eV per cell.



DFT (PBE-GGA) results for a relaxed structure of Pm6DyHo2Er3.

a = 6.222 Å, b = 6.222 Å, c = 11.777 Å
α = 95.03°, β = 95.03°, γ = 119.99°
Fractional coordinates of all 12 atoms:
Pm: 0.916 0.583 0.749
Pm: 0.250 0.250 0.749
Ho: 0.333 0.667 0.000
Dy: 0.000 0.000 0.000
Er: 0.500 0.500 0.500
Ho: 0.667 0.333 0.000
Pm: 0.417 0.084 0.251
Pm: 0.750 0.750 0.251
Er: 0.167 0.833 0.500
Pm: 0.583 0.916 0.749
Pm: 0.084 0.417 0.251
Er: 0.833 0.167 0.500

Summary:
The value obtained for the size of the total moment is 0.0 μB/f.u. As for the energy of formation from the pure elements: 0.0131 eV per atom. As for the theoretical density: 8.0 g/cm3. Its total energy is -55.8 eV per cell.



DFT (PBE-GGA) results for a relaxed structure of CsSnTe2.

a = 3.951 Å, b = 3.951 Å, c = 9.335 Å
α = 90.00°, β = 90.00°, γ = 90.00°
Fractional coordinates of all 4 atoms:
Cs: 0.500 0.500 0.500
Sn: 0.500 0.500 0.000
Te: 0.000 0.000 0.798
Te: 0.000 0.000 0.202

Summary:
The value obtained for the size of the total moment is 0.0 μB/f.u. For the formation energy from raw total energies, the calculation gives -365 meV/atom. As for the theoretical density: 5.8 g/cm3. Its total energy is -12.6 eV per cell.